[1]
# NaAgAsBr2, relaxed, DFT GGA-PBEsol
# total moment: 0.33 μB per atom
# E_form (uncorrected): -0.12 eV/atom
data_NaAgAsBr2
_chemical_formula_sum 'Na1 Ag1 As1 Br2'
_cell_length_a 5.4567
_cell_length_b 5.4567
_cell_length_c 4.9144
_cell_angle_alpha 90.00
_cell_angle_beta 90.00
_cell_angle_gamma 90.00
_symmetry_space_group_name_H-M 'P 4/m m m'
_symmetry_Int_Tables_number 123
_symmetry_space_group_name_Hall '-P 4 2'
loop_
_atom_site_label
_atom_site_type_symbol
_atom_site_fract_x
_atom_site_fract_y
_atom_site_fract_z
Na1 Na 0.0000 0.0000 0.0000
Ag1 Ag 0.5000 0.5000 0.5000
As1 As 0.5000 0.5000 0.0000
Br1 Br 0.0000 0.5000 0.5000


[2]
# BaY2Au, relaxed, DFT GGA-PBEsol
# DFT formation energy: -195.6 meV per atom
# total moment: 0.00 μB per atom
# excess energy over the best structure of this formula in the dataset: 82 meV per atom
data_BaY2Au
_chemical_formula_sum 'Ba2 Y4 Au2'
_cell_length_a 12.8882
_cell_length_b 3.8018
_cell_length_c 5.4216
_cell_angle_alpha 90.00
_cell_angle_beta 114.38
_cell_angle_gamma 90.00
_symmetry_space_group_name_H-M 'C 1 m 1'
_symmetry_Int_Tables_number 8
loop_
_symmetry_equiv_pos_as_xyz
'x,y,z'
'x,-y,z'
'x+1/2,y+1/2,z'
'x+1/2,-y+1/2,z'
loop_
_atom_site_label
_atom_site_type_symbol
_atom_site_fract_x
_atom_site_fract_y
_atom_site_fract_z
Ba1 Ba 0.0000 0.0000 0.0000
Y1 Y 0.2043 0.0000 0.7097
Y2 Y 0.4061 0.0000 0.4067
Au1 Au 0.2288 0.5000 0.2860


[3]
# AlZnCl2, relaxed, DFT GGA-PBEsol
# total moment: 0.00 μB per atom
# excess energy over the best structure of this formula in the dataset: 379 meV per atom
# E_form (uncorrected): -0.21 eV/atom
data_AlZnCl2
_chemical_formula_sum 'Al1 Zn1 Cl2'
_cell_length_a 3.3699
_cell_length_b 4.0690
_cell_length_c 5.7204
_cell_angle_alpha 90.00
_cell_angle_beta 90.00
_cell_angle_gamma 90.00
_symmetry_space_group_name_H-M 'P m m m'
_symmetry_Int_Tables_number 47
loop_
_symmetry_equiv_pos_as_xyz
'x,y,z'
'-x,-y,-z'
'-x,-y,z'
'x,y,-z'
'x,-y,-z'
'-x,y,z'
'-x,y,-z'
'x,-y,z'
loop_
_atom_site_label
_atom_site_type_symbol
_atom_site_fract_x
_atom_site_fract_y
_atom_site_fract_z
Al1 Al 0.0000 0.0000 0.0000
Zn1 Zn 0.5000 0.0000 0.5000
Cl1 Cl 0.0000 0.5000 0.5000
Cl2 Cl 0.5000 0.5000 0.0000


[4]
# LiVF6, relaxed, DFT GGA-PBEsol
# total moment: 0.00 μB per atom
# E_form (uncorrected): -2.79 eV/atom
data_LiVF6
_chemical_formula_sum 'Li1 V1 F6'
_cell_length_a 5.4972
_cell_length_b 5.4972
_cell_length_c 4.7391
_cell_angle_alpha 90.00
_cell_angle_beta 90.00
_cell_angle_gamma 120.00
_symmetry_space_group_name_H-M 'P 3 m 1'
_symmetry_Int_Tables_number 156
loop_
_symmetry_equiv_pos_as_xyz
'x,y,z'
'-y,x-y,z'
'-x+y,-x,z'
'-y,-x,z'
'-x+y,y,z'
'x,x-y,z'
loop_
_atom_site_label
_atom_site_type_symbol
_atom_site_fract_x
_atom_site_fract_y
_atom_site_fract_z
Li1 Li 0.0000 0.0000 0.0000
V1 V 0.3333 0.6667 0.3607
F1 F 0.0267 0.5134 0.5630
F2 F 0.1804 0.3607 0.1271


Q: Among the records above, which one has the highest total moment?
A: NaAgAsBr2